Compound: Pm7Pr2In2
Source: Alexandria via LeMat-Bulk
Functional: PBE-GGA
Structure: optimized geometry

Output
formation energy = -0.056 eV/atom
mass density = 6.7 Mg/m³
DFT total energy = -97.8 eV/cell

Cell lengths 3.810, 17.647, 11.177 Å; angles 90.00, 90.00, 90.00 degrees
Space group Imm2 (No. 44)
Symmetry-distinct sites (fractional):
Pm 0.000 0.000 0.000
Pm 0.000 0.165 0.420
Pm 0.000 0.329 0.193
Pm 0.000 0.344 0.648
Pr 0.000 0.000 0.633
Pr 0.000 0.500 0.831
In 0.000 0.182 0.922